Density functional theory data (PBE) for an optimized crystal structure of Na3Hg6Sb2.

Unit cell a=5.4499 b=5.4503 c=13.0054 alpha=84.27 beta=84.27 gamma=111.41
Last column: nearest neighbours and their distance in Å.
Fractional coordinates of all 11 atoms:
Na: 0.0000 0.0000 0.0000  8 Hg 3.10-3.12
Na: 0.8209 0.8208 0.3009  3 Hg 3.08-3.45, 2 Sb 3.25
Na: 0.1791 0.1792 0.6991  3 Hg 3.08-3.45, 2 Sb 3.25
Hg: 0.1064 0.5640 0.8858  2 Sb 2.97-3.11, 3 Hg 2.99-3.09, 2 Na 3.10-3.12
Hg: 0.5640 0.1064 0.8858  2 Sb 2.97-3.11, 3 Hg 2.99-3.09, 2 Na 3.10-3.12
Hg: 0.8936 0.4360 0.1142  2 Sb 2.97-3.11, 3 Hg 2.99-3.09, 2 Na 3.10-3.12
Hg: 0.4360 0.8936 0.1142  2 Sb 2.97-3.11, 3 Hg 2.99-3.09, 2 Na 3.10-3.12
Hg: 0.7317 0.7317 0.5415  1 Na 3.08, 1 Sb 3.08, 2 Hg 3.22-3.28
Hg: 0.2683 0.2683 0.4585  1 Na 3.08, 1 Sb 3.08, 2 Hg 3.22-3.28
Sb: 0.3515 0.3515 0.2180  5 Hg 2.97-3.11, 2 Na 3.25
Sb: 0.6485 0.6485 0.7820  5 Hg 2.97-3.11, 2 Na 3.25

Output
density of states at the Fermi level = 2.59 states/eV per cell
formation energy without anion corrections = -86.3 meV/atom
magnetic moment = 0.0 μB per cell